{"formula": "Ce2SiOs3", "functional": "PBE", "state": "optimized geometry", "space_group": "No. 194", "formation_energy_uncorrected_ev_per_atom": -0.383, "volume_a3_per_atom": 17.85, "cell": [[5.559, 0.000, 0.000], [-2.779, 4.814, 0.000], [0.000, 0.000, 8.004]], "species": ["Ce", "Ce", "Ce", "Ce", "Si", "Si", "Os", "Os", "Os", "Os", "Os", "Os"], "fractional_positions": [[0.667, 0.333, 0.428], [0.333, 0.667, 0.572], [0.333, 0.667, 0.928], [0.667, 0.333, 0.072], [0.000, 0.000, 0.500], [0.000, 0.000, 0.000], [0.170, 0.340, 0.250], [0.340, 0.170, 0.750], [0.830, 0.660, 0.750], [0.170, 0.830, 0.250], [0.830, 0.170, 0.750], [0.660, 0.830, 0.250]]}